VASP calculation (GGA+U) on a relaxed structure of CaLa2WO6.

Unit cell a=6.0932 b=6.0932 c=13.5568 alpha=90.00 beta=90.00 gamma=120.00
Space group R-3 (No. 148, hexagonal axes)
Unique sites:
1 Ca 0.0000 0.0000 0.0000
2 La 0.0000 0.0000 0.2721
3 W 0.0000 0.0000 0.5000
4 O 0.0300 0.4044 0.2495

calculated total energy: -7.744 eV per atom
density of states at the Fermi level: 0.000 states/eV/f.u.
total moment: 0.004 μB/atom